## LaTiSe2N (PBE)

Data for a geometry-optimized LaTiSe2N structure.

Values from the calculation:
Raw formation energy, kJ per mole of atoms: 21.98
Mass density, g cm⁻³: 4.34
Calculated total energy, eV/atom: -5.396

Lattice parameters (Å, degrees): 5.7336 5.7336 4.1797 90.00 90.00 90.00
Closest atoms and distances in Å follow each position.
Fractional coordinates of all 5 atoms:
La  0.0000  0.0000  0.0000  2 N 2.09
Ti  0.5000  0.5000  0.5000  8 Se 3.55
Se  0.0000  0.5000  0.0000  2 La 2.87
Se  0.5000  0.0000  0.0000  2 La 2.87
N  0.0000  0.0000  0.5000  2 La 2.09

## LaTiSe2N (PBE)

Data for a geometry-optimized LaTiSe2N structure.

Values from the calculation:
Raw formation energy, kJ per mole of atoms: -116.04
Mass density, g cm⁻³: 5.86
Calculated total energy, eV/atom: -6.826

Lattice parameters (Å, degrees): 5.1178 5.1178 3.8824 90.00 90.00 90.00
Closest atoms and distances in Å follow each position.
Fractional coordinates of all 5 atoms:
La  0.0000  0.0000  0.0000  8 Se 3.21
Ti  0.5000  0.5000  0.5000  2 N 1.94
Se  0.0000  0.5000  0.5000  2 Ti 2.56
Se  0.5000  0.0000  0.5000  2 Ti 2.56
N  0.5000  0.5000  0.0000  2 Ti 1.94